(1)
Material: Pm2UPdS5
Method: DFT, GGA-PBE
State: relaxed

It has space group Cmc2_1 (No. 36), with a = 3.901 Å, b = 16.335 Å, c = 12.123 Å, α = 90.00°, β = 90.00° and γ = 90.00°. Symmetry generates all atoms from Pm at (0.000, 0.107, 0.000), Pm at (0.000, 0.116, 0.343), U at (0.000, 0.180, 0.672), Pd at (0.000, 0.446, 0.065), S at (0.000, 0.017, 0.671), S at (0.000, 0.301, 0.330), S at (0.000, 0.302, 0.012), S at (0.000, 0.345, 0.669) and S at (0.000, 0.493, 0.387).

The value obtained for the total energy is -6.722 eV/atom. The calculation puts the formation energy (no corrections) at -1.542 eV per atom. The spin magnetization comes out at 1.89 μB/f.u. Its density of states at the Fermi level is 0.72 states/eV/atom.

(2)
Material: Pm4Sb2Pd
Method: DFT, GGA-PBE
State: relaxed

It has space group C2/m (No. 12), with a = 15.986 Å, b = 4.353 Å, c = 7.444 Å, α = 90.00°, β = 116.41° and γ = 90.00°. Symmetry generates all atoms from Pm at (0.117, 0.000, 0.440), Pm at (0.119, 0.500, 0.976), Sb at (0.238, 0.500, 0.736) and Pd at (0.000, 0.000, 0.000).

The value obtained for the total energy is -5.355 eV/atom. The calculation puts the formation energy (no corrections) at -0.721 eV per atom. The spin magnetization comes out at 0.00 μB/f.u. Its density of states at the Fermi level is 1.00 states/eV/atom.

(3)
Material: Pm3Sb4Pd3
Method: DFT, GGA-PBE
State: relaxed

It has space group I-43d (No. 220), with a = 9.919 Å, b = 9.919 Å, c = 9.919 Å, α = 90.00°, β = 90.00° and γ = 90.00°. Symmetry generates all atoms from Pm at (0.000, 0.250, 0.375), Sb at (0.080, 0.080, 0.080) and Pd at (0.000, 0.250, 0.875).

The value obtained for the total energy is -5.596 eV/atom. The calculation puts the formation energy (no corrections) at -0.964 eV per atom. The spin magnetization comes out at 0.00 μB/f.u. Its density of states at the Fermi level is 0.78 states/eV/atom.

(4)
Material: PmSb4Pd15
Method: DFT, GGA-PBE
State: relaxed

It has space group P4/mmm (No. 123), with a = 4.103 Å, b = 4.103 Å, c = 20.193 Å, α = 90.00°, β = 90.00° and γ = 90.00°. Symmetry generates all atoms from Pm at (0.000, 0.000, 0.000), Sb at (0.000, 0.000, 0.202), Sb at (0.000, 0.000, 0.401), Pd at (0.000, 0.500, 0.107), Pd at (0.000, 0.500, 0.303), Pd at (0.000, 0.500, 0.500), Pd at (0.500, 0.500, 0.000), Pd at (0.500, 0.500, 0.206) and Pd at (0.500, 0.500, 0.401).

The value obtained for the total energy is -5.408 eV/atom. The calculation puts the formation energy (no corrections) at -0.452 eV per atom. The spin magnetization comes out at 0.00 μB/f.u. Its density of states at the Fermi level is 0.47 states/eV/atom.

(5)
Material: PmSb2Pd8
Method: DFT, GGA-PBE
State: relaxed

It has space group C2/m (No. 12), with a = 7.701 Å, b = 12.052 Å, c = 4.772 Å, α = 90.00°, β = 112.32° and γ = 90.00°. Symmetry generates all atoms from Pm at (0.000, 0.000, 0.000), Sb at (0.000, 0.316, 0.500), Pd at (0.000, 0.235, 0.000), Pd at (0.100, 0.500, 0.822) and Pd at (0.198, 0.121, 0.613).

The value obtained for the total energy is -5.405 eV/atom. The calculation puts the formation energy (no corrections) at -0.447 eV per atom. The spin magnetization comes out at 0.00 μB/f.u. Its density of states at the Fermi level is 0.37 states/eV/atom.

(6)
Material: Pm2Sb7Pd12
Method: DFT, GGA-PBE
State: relaxed

It has space group P-3 (No. 147), with a = 10.5668 Å, b = 10.5668 Å, c = 4.3298 Å, α = 90.00°, β = 90.00° and γ = 120.00°. Symmetry generates all atoms from Pm at (0.3333, 0.6667, 0.2400), Sb at (0.0000, 0.0000, 0.5000), Sb at (0.1135, 0.7065, 0.7329), Pd at (0.0582, 0.4358, 0.7578) and Pd at (0.1199, 0.2572, 0.2194).

The value obtained for the total energy is -5.416 eV/atom. The calculation puts the formation energy (no corrections) at -0.623 eV per atom. The spin magnetization comes out at 0.00 μB/f.u. Its density of states at the Fermi level is 0.43 states/eV/atom.

(7)
Material: Pm4SbPd
Method: DFT, GGA-PBE
State: relaxed

It has space group Cmcm (No. 63), with a = 5.586 Å, b = 20.729 Å, c = 6.422 Å, α = 90.00°, β = 90.00° and γ = 90.00°. Symmetry generates all atoms from Pm at (0.000, 0.053, 0.250), Pm at (0.000, 0.205, 0.003), Pm at (0.000, 0.390, 0.250), Sb at (0.000, 0.349, 0.750) and Pd at (0.000, 0.082, 0.750).

The value obtained for the total energy is -5.234 eV/atom. The calculation puts the formation energy (no corrections) at -0.514 eV per atom. The spin magnetization comes out at 0.00 μB/f.u. Its density of states at the Fermi level is 1.04 states/eV/atom.

(8)
Material: PmSbPd4
Method: DFT, GGA-PBE
State: relaxed

It has space group F-43m (No. 216), with a = 7.697 Å, b = 7.697 Å, c = 7.697 Å, α = 90.00°, β = 90.00° and γ = 90.00°. Symmetry generates all atoms from Pm at (0.000, 0.000, 0.000), Sb at (0.250, 0.250, 0.750) and Pd at (0.125, 0.125, 0.375).

The value obtained for the total energy is -5.494 eV/atom. The calculation puts the formation energy (no corrections) at -0.554 eV per atom. The spin magnetization comes out at 0.00 μB/f.u. Its density of states at the Fermi level is 1.10 states/eV/atom.

(9)
Material: PmSbPd2
Method: DFT, GGA-PBE
State: relaxed

It has space group P4/mmm (No. 123), with a = 4.559 Å, b = 4.559 Å, c = 4.047 Å, α = 90.00°, β = 90.00° and γ = 90.00°. Symmetry generates all atoms from Pm at (0.000, 0.000, 0.000), Sb at (0.500, 0.500, 0.000) and Pd at (0.000, 0.500, 0.500).

The value obtained for the total energy is -5.521 eV/atom. The calculation puts the formation energy (no corrections) at -0.706 eV per atom. The spin magnetization comes out at 0.00 μB/f.u. Its density of states at the Fermi level is 0.53 states/eV/atom.

(10)
Material: PmSb2Pd7
Method: DFT, GGA-PBE
State: relaxed

It has space group I4/mmm (No. 139), with a = 4.194 Å, b = 4.194 Å, c = 21.891 Å, α = 90.00°, β = 90.00° and γ = 90.00°. Symmetry generates all atoms from Pm at (0.000, 0.000, 0.000), Sb at (0.000, 0.000, 0.328), Pd at (0.000, 0.000, 0.500), Pd at (0.000, 0.500, 0.097) and Pd at (0.000, 0.500, 0.250).

The value obtained for the total energy is -5.488 eV/atom. The calculation puts the formation energy (no corrections) at -0.554 eV per atom. The spin magnetization comes out at 0.00 μB/f.u. Its density of states at the Fermi level is 0.54 states/eV/atom.

(11)
Material: PmSb2Pd4
Method: DFT, GGA-PBE
State: relaxed

It has space group P4_2/mnm (No. 136), with a = 7.992 Å, b = 7.992 Å, c = 4.351 Å, α = 90.00°, β = 90.00° and γ = 90.00°. Symmetry generates all atoms from Pm at (0.000, 0.000, 0.000), Sb at (0.217, 0.217, 0.500) and Pd at (0.095, 0.649, 0.500).

The value obtained for the total energy is -5.539 eV/atom. The calculation puts the formation energy (no corrections) at -0.715 eV per atom. The spin magnetization comes out at 0.00 μB/f.u. Its density of states at the Fermi level is 0.35 states/eV/atom.

(12)
Material: Pm2Sb3Pd5
Method: DFT, GGA-PBE
State: relaxed

It has space group Cmc2_1 (No. 36), with a = 4.576 Å, b = 25.612 Å, c = 7.157 Å, α = 90.00°, β = 90.00° and γ = 90.00°. Symmetry generates all atoms from Pm at (0.000, 0.017, 0.000), Pm at (0.000, 0.324, 0.984), Sb at (0.000, 0.108, 0.292), Sb at (0.000, 0.279, 0.440), Sb at (0.000, 0.447, 0.206), Pd at (0.000, 0.109, 0.689), Pd at (0.000, 0.207, 0.151), Pd at (0.000, 0.221, 0.742), Pd at (0.000, 0.381, 0.505) and Pd at (0.000, 0.449, 0.815).

The value obtained for the total energy is -5.582 eV/atom. The calculation puts the formation energy (no corrections) at -0.799 eV per atom. The spin magnetization comes out at 0.00 μB/f.u. Its density of states at the Fermi level is 0.53 states/eV/atom.

Look up the spin magnetization of the seventh one.
0.00 μB/f.u.